[1]
An optimized crystal structure of SrCd10Bi, computed with PBE-GGA.

```
SrCd10Bi
1.0
4.941 0.000 0.000
0.000 6.049 0.000
0.000 0.000 10.371
Cd Bi Sr
10 1 1
Direct
0.000 0.500 0.843
0.500 0.260 0.261
0.500 0.740 0.261
0.000 0.000 0.682
0.000 0.000 0.318
0.000 0.500 0.157
0.500 0.740 0.739
0.500 0.000 0.500
0.500 0.260 0.739
0.500 0.500 0.000
0.000 0.000 0.000
0.000 0.500 0.500
```

Properties
For the density, the calculation gives 7.61 g/cm³. Its energy is -1.28 eV/atom. For the formation energy, the calculation gives -0.05 eV/atom.

=====

[2]
An optimized crystal structure of SrCdBi2, computed with PBE-GGA.

```
SrCdBi2
1.0
-4.180 -2.293 0.152
1.382 -2.784 -4.024
2.023 -3.482 3.104
Bi Sr Cd
2 1 1
Direct
0.000 0.000 0.500
0.000 0.500 0.000
0.500 0.500 0.500
0.500 0.000 0.000
```

Properties
For the density, the calculation gives 8.32 g/cm³. Its energy is -3.01 eV/atom. For the formation energy, the calculation gives -0.42 eV/atom.

=====

[3]
An optimized crystal structure of SrCd2Bi2, computed with PBE-GGA.

```
SrCd2Bi2
1.0
5.184 0.000 0.000
0.000 5.184 0.000
2.592 2.592 6.042
Cd Bi Sr
2 2 1
Direct
0.388 0.388 0.224
0.612 0.612 0.776
0.750 0.250 0.500
0.250 0.750 0.500
0.000 0.000 0.000
```

Properties
For the density, the calculation gives 7.47 g/cm³. Its energy is -2.54 eV/atom. For the formation energy, the calculation gives -0.29 eV/atom.

=====

[4]
An optimized crystal structure of SrCd2Bi, computed with PBE-GGA.

```
SrCd2Bi
1.0
-2.906 0.495 -2.129
-1.728 -2.870 -1.414
-8.602 -1.235 8.348
Bi Sr Cd
1 1 2
Direct
0.500 0.500 0.500
0.000 0.000 0.000
0.907 0.907 0.280
0.093 0.093 0.720
```

Properties
For the density, the calculation gives 6.37 g/cm³. Its energy is -1.62 eV/atom. For the formation energy, the calculation gives 0.23 eV/atom.

=====

[5]
An optimized crystal structure of SrCd3Bi3, computed with PBE-GGA.

```
SrCd3Bi3
1.0
4.667 0.000 0.000
0.000 9.440 -5.445
0.000 -0.003 10.899
Cd Sr Bi
6 2 6
Direct
0.250 0.548 0.949
0.750 0.452 0.051
0.750 0.949 0.401
0.750 0.599 0.548
0.250 0.401 0.452
0.250 0.051 0.599
0.250 0.667 0.333
0.750 0.333 0.667
0.250 0.661 0.752
0.250 0.091 0.339
0.750 0.909 0.661
0.250 0.248 0.909
0.750 0.339 0.248
0.750 0.752 0.091
```

Properties
For the density, the calculation gives 7.28 g/cm³. Its energy is -2.50 eV/atom. The calculation puts the excess energy over the best structure of this formula in the dataset at 19 meV per atom. For the formation energy, the calculation gives -0.20 eV/atom.

=====

[6]
An optimized crystal structure of SrCd2Bi2, computed with PBE-GGA.

```
SrCd2Bi2
1.0
7.967 0.865 -0.014
-1.889 7.788 -0.014
-3.034 -4.319 5.521
Cd Sr Bi
4 2 4
Direct
0.236 0.986 0.472
0.486 0.736 0.972
0.514 0.264 0.028
0.764 0.014 0.528
0.875 0.625 0.750
0.125 0.375 0.250
0.159 0.341 0.750
0.841 0.659 0.250
0.408 0.092 0.250
0.592 0.908 0.750
```

Properties
For the density, the calculation gives 6.92 g/cm³. Its energy is -2.54 eV/atom. For the formation energy, the calculation gives -0.28 eV/atom.

=====

[7]
An optimized crystal structure of SrCd3Bi3, computed with PBE-GGA.

```
SrCd3Bi3
1.0
-4.378 -0.172 7.017
-4.652 -6.596 1.812
3.077 -5.529 6.660
Cd Bi Sr
6 6 2
Direct
0.502 0.239 0.380
0.498 0.761 0.620
0.761 0.120 0.620
0.239 0.880 0.380
0.880 0.502 0.380
0.120 0.498 0.620
0.372 0.079 0.772
0.079 0.778 0.772
0.222 0.628 0.228
0.628 0.921 0.228
0.778 0.372 0.772
0.921 0.222 0.228
0.333 0.333 0.002
0.667 0.667 0.998
```

Properties
For the density, the calculation gives 7.51 g/cm³. Its energy is -2.51 eV/atom. The calculation puts the excess energy over the best structure of this formula in the dataset at 0 meV per atom. For the formation energy, the calculation gives -0.22 eV/atom.

=====

[8]
An optimized crystal structure of SrCdBi3, computed with PBE-GGA.

```
SrCdBi3
1.0
6.847 0.000 0.000
0.000 6.663 0.000
0.000 0.000 14.144
Cd Bi Sr
4 12 4
Direct
0.000 0.250 0.119
0.500 0.250 0.119
0.000 0.750 0.881
0.500 0.750 0.881
0.750 0.305 0.930
0.250 0.989 0.251
0.000 0.750 0.502
0.000 0.250 0.498
0.500 0.250 0.498
0.750 0.511 0.251
0.750 0.805 0.070
0.250 0.695 0.070
0.750 0.011 0.749
0.250 0.489 0.749
0.250 0.195 0.930
0.500 0.750 0.502
0.750 0.003 0.314
0.750 0.503 0.686
0.250 0.497 0.314
0.250 0.997 0.686
```

Properties
For the density, the calculation gives 8.51 g/cm³. Its energy is -3.14 eV/atom. The calculation puts the excess energy over the best structure of this formula in the dataset at 0 meV per atom. For the formation energy, the calculation gives -0.29 eV/atom.

=====

The lowest energy belongs to which entry? SrCdBi3

=====

energy of number 5 (SrCd3Bi3)? -2.50 eV/atom

=====

Please write out number 3 again, unchanged.
An optimized crystal structure of SrCd2Bi2, computed with PBE-GGA.

```
SrCd2Bi2
1.0
5.184 0.000 0.000
0.000 5.184 0.000
2.592 2.592 6.042
Cd Bi Sr
2 2 1
Direct
0.388 0.388 0.224
0.612 0.612 0.776
0.750 0.250 0.500
0.250 0.750 0.500
0.000 0.000 0.000
```

Properties
For the density, the calculation gives 7.47 g/cm³. Its energy is -2.54 eV/atom. For the formation energy, the calculation gives -0.29 eV/atom.

=====

Look up the energy of the fourth one. -1.62 eV/atom